(1)
TaMnCu2 after structural relaxation. Source: Alexandria via LeMat-Bulk, functional PBE.

Unit cell a=4.294 b=4.294 c=4.294 alpha=60.00 beta=60.00 gamma=60.00
Site moments in Bohr magnetons follow the coordinates.
Fractional coordinates of all 4 atoms:
Cu 0.750 0.750 0.750  0.01
Ta 0.500 0.500 0.500  -0.26
Mn 0.000 0.000 0.000  3.29
Cu 0.250 0.250 0.250  0.01

Offset from the most stable computed form, meV/atom: 109
Raw total energy, eV/atom: -7.105
Crystal system: cubic
Energy of formation from the pure elements, eV/f.u.: 0.79
Density of states at the Fermi level, states/eV per cell: 3.0
M_tot, μB per cell: 3.2

---

(2)
NaAc2S3 after structural relaxation. Source: Alexandria via LeMat-Bulk, functional PBE.

Unit cell a=3.966 b=4.916 c=8.727 alpha=106.36 beta=103.13 gamma=90.00
Fractional coordinates of all 6 atoms:
Ac 0.355 0.355 0.711
S 0.172 0.172 0.344
Ac 0.645 0.645 0.289
S 0.828 0.828 0.656
S 0.000 0.500 0.000
Na 0.000 0.000 0.000

Offset from the most stable computed form, meV/atom: 72
Raw total energy, eV/atom: -5.425
Crystal system: orthorhombic
Density of states at the Fermi level, states/eV per cell: 1.2
Uncorrected formation energy, meV per atom: -1772
M_tot, μB per cell: 0.0

---

(3)
La2CeSb3Rh4 after structural relaxation. Source: Alexandria via LeMat-Bulk, functional PBE.

Unit cell a=4.512 b=4.512 c=11.239 alpha=90.00 beta=90.00 gamma=90.00
Site moments in Bohr magnetons follow the coordinates.
Fractional coordinates of all 10 atoms:
Rh 0.500 0.500 0.000  0.21
Rh 0.000 0.500 0.361  -0.01
Rh 0.500 0.000 0.639  -0.01
La 0.500 0.000 0.221  0.02
Sb 0.500 0.000 0.871  0.01
Rh 0.000 0.000 0.000  0.23
Sb 0.000 0.500 0.129  0.01
La 0.000 0.500 0.779  0.02
Sb 0.000 0.000 0.500  -0.01
Ce 0.500 0.500 0.500  0.25

Raw total energy, eV/atom: -6.650
Crystal system: tetragonal
Density of states at the Fermi level, states/eV per cell: 11.6
Uncorrected formation energy, meV per atom: -894
M_tot, μB per cell: 0.9

---

(4)
Y3ScS6 after structural relaxation. Source: Alexandria via LeMat-Bulk, functional PBE.

Unit cell a=7.916 b=7.916 c=7.916 alpha=91.22 beta=91.22 gamma=91.22
Fractional coordinates of all 20 atoms:
S 0.919 0.693 0.082
Y 0.429 0.921 0.752
S 0.693 0.082 0.919
S 0.918 0.081 0.307
Y 0.921 0.752 0.429
Sc 0.500 0.500 0.500
Y 0.752 0.429 0.921
S 0.587 0.809 0.458
S 0.307 0.918 0.081
Sc 0.000 0.000 0.000
S 0.542 0.413 0.191
S 0.809 0.458 0.587
S 0.082 0.919 0.693
Y 0.248 0.571 0.079
S 0.458 0.587 0.809
Y 0.079 0.248 0.571
S 0.413 0.191 0.542
Y 0.571 0.079 0.248
S 0.081 0.307 0.918
S 0.191 0.542 0.413

Raw total energy, eV/atom: -7.082
Crystal system: trigonal
Density of states at the Fermi level, states/eV per cell: 0.0
Uncorrected formation energy, meV per atom: -2033
M_tot, μB per cell: 0.0

---

(5)
Zn4Cd5 after structural relaxation. Source: Alexandria via LeMat-Bulk, functional PBE.

Unit cell a=9.074 b=9.074 c=6.761 alpha=47.85 beta=47.85 gamma=90.00
Fractional coordinates of all 9 atoms:
Cd 0.000 0.000 0.000
Zn 0.000 0.650 0.000
Cd 0.670 0.330 0.000
Cd 0.670 0.670 0.000
Zn 0.000 0.350 0.000
Zn 0.650 0.000 0.000
Cd 0.330 0.330 0.000
Cd 0.330 0.670 0.000
Zn 0.350 0.000 0.000

Raw total energy, eV/atom: -1.005
Crystal system: tetragonal
Energy of formation from the pure elements, eV/f.u.: 0.62
Density of states at the Fermi level, states/eV per cell: 3.2
M_tot, μB per cell: 0.0

---

(6)
La6Sb3AsS2 after structural relaxation. Source: Alexandria via LeMat-Bulk, functional PBE.

Unit cell a=4.438 b=8.868 c=9.922 alpha=103.03 beta=102.92 gamma=90.00
Fractional coordinates of all 12 atoms:
La 0.004 0.241 0.009
La 0.671 0.573 0.341
Sb 0.833 0.169 0.667
La 0.329 0.427 0.659
La 0.337 0.907 0.674
S 0.168 0.335 0.336
As 0.500 0.000 0.000
La 0.663 0.093 0.326
S 0.832 0.665 0.664
Sb 0.500 0.500 0.000
La 0.996 0.759 0.991
Sb 0.167 0.831 0.333

Raw total energy, eV/atom: -6.170
Crystal system: monoclinic
Density of states at the Fermi level, states/eV per cell: 4.5
Uncorrected formation energy, meV per atom: -1601
M_tot, μB per cell: 0.0